# Al4Fe2O, relaxed, DFT GGA+U
data_Al4Fe2O
_symmetry_space_group_name_H-M 'I 4/m m m'
_symmetry_Int_Tables_number 139
_symmetry_space_group_name_Hall '-I 4 2'
_cell_length_a 3.966
_cell_length_b 3.966
_cell_length_c 13.764
_cell_angle_alpha 90.00
_cell_angle_beta 90.00
_cell_angle_gamma 90.00
loop_
_atom_site_label
_atom_site_fract_x
_atom_site_fract_y
_atom_site_fract_z
Al1 0.000 0.000 0.165
Al2 0.000 0.500 0.000
Fe1 0.000 0.000 0.359
O1 0.000 0.000 0.000
# Electronic total energy ... -61.48 eV for the cell shown
# Calculated volume ... 15.5 A^3/atom